Here is LaPmNd2Dy2 after structural relaxation from the Alexandria database. Energies are from PBE.

Calculated values
* formation energy: 0.90 eV per formula unit
* mass density: 7.2 g/cm3
* raw total energy: -4.586 eV/atom

Unit cell a=7.0639 b=16.5350 c=3.5642 alpha=90.00 beta=90.00 gamma=90.00
With the nearest neighbours (Å) after each atom.
Fractional coordinates of all 12 atoms:
La: 0.0000 0.0000 0.0000  2 Pm 3.53, 2 La 3.56, 4 Dy 3.59, 4 Nd 3.66
La: 0.5000 0.5000 0.5000  2 Pm 3.53, 2 La 3.56, 4 Dy 3.59, 4 Nd 3.66
Pm: 0.0000 0.5000 0.5000  2 La 3.53, 2 Pm 3.56, 4 Dy 3.59, 4 Nd 3.65
Pm: 0.5000 0.0000 0.0000  2 La 3.53, 2 Pm 3.56, 4 Dy 3.59, 4 Nd 3.65
Nd: 0.2480 0.3393 0.0000  4 Dy 3.52-3.55, 2 Nd 3.56, 2 Pm 3.65, 2 La 3.66
Nd: 0.2520 0.8393 0.5000  4 Dy 3.52-3.55, 2 Nd 3.56, 2 Pm 3.65, 2 La 3.66
Nd: 0.7480 0.1607 0.5000  4 Dy 3.52-3.55, 2 Nd 3.56, 2 Pm 3.65, 2 La 3.66
Nd: 0.7520 0.6607 0.0000  4 Dy 3.52-3.55, 2 Nd 3.56, 2 Pm 3.65, 2 La 3.66
Dy: 0.2498 0.1552 0.5000  4 Nd 3.52-3.55, 2 Dy 3.56, 2 La 3.59, 2 Pm 3.59
Dy: 0.2502 0.6552 0.0000  4 Nd 3.52-3.55, 2 Dy 3.56, 2 La 3.59, 2 Pm 3.59
Dy: 0.7498 0.3448 0.0000  4 Nd 3.52-3.55, 2 Dy 3.56, 2 La 3.59, 2 Pm 3.59
Dy: 0.7502 0.8448 0.5000  4 Nd 3.52-3.55, 2 Dy 3.56, 2 La 3.59, 2 Pm 3.59


Here is La2Pm3NdDy6 after structural relaxation from the Alexandria database. Energies are from PBE.

Calculated values
* formation energy: 0.16 eV per formula unit
* mass density: 7.6 g/cm3
* raw total energy: -4.694 eV/atom

Unit cell a=6.2838 b=6.2838 c=11.8716 alpha=95.05 beta=95.05 gamma=120.00
With the nearest neighbours (Å) after each atom.
Fractional coordinates of all 12 atoms:
La: 0.1667 0.8333 0.0000  6 Dy 3.62, 3 La 3.63, 3 Nd 3.63
La: 0.8333 0.1667 0.0000  6 Dy 3.62, 3 La 3.63, 3 Nd 3.63
Pm: 0.0000 0.0000 0.5000  6 Dy 3.57-3.58, 6 Pm 3.63
Pm: 0.3335 0.6665 0.5000  6 Dy 3.57-3.58, 6 Pm 3.62-3.63
Pm: 0.6665 0.3335 0.5000  6 Dy 3.57-3.58, 6 Pm 3.62-3.63
Nd: 0.5000 0.5000 0.0000  6 Dy 3.61, 6 La 3.63
Dy: 0.0830 0.4158 0.7478  3 Pm 3.57-3.58, 1 Nd 3.61, 2 La 3.62, 6 Dy 3.62-3.63
Dy: 0.2516 0.2516 0.2521  3 Pm 3.57-3.58, 1 Nd 3.61, 2 La 3.62, 6 Dy 3.62-3.63
Dy: 0.4158 0.0830 0.7478  3 Pm 3.57-3.58, 1 Nd 3.61, 2 La 3.62, 6 Dy 3.62-3.63
Dy: 0.5842 0.9170 0.2522  3 Pm 3.57-3.58, 1 Nd 3.61, 2 La 3.62, 6 Dy 3.62-3.63
Dy: 0.7484 0.7484 0.7479  3 Pm 3.57-3.58, 1 Nd 3.61, 2 La 3.62, 6 Dy 3.62-3.63
Dy: 0.9170 0.5842 0.2522  3 Pm 3.57-3.58, 1 Nd 3.61, 2 La 3.62, 6 Dy 3.62-3.63


Here is La2Pm6Nd3Dy after structural relaxation from the Alexandria database. Energies are from PBE.

Calculated values
* formation energy: 0.19 eV per formula unit
* mass density: 6.9 g/cm3
* raw total energy: -4.756 eV/atom

Unit cell a=6.3543 b=6.3543 c=12.1664 alpha=95.03 beta=95.03 gamma=119.99
With the nearest neighbours (Å) after each atom.
Fractional coordinates of all 12 atoms:
La: 0.1667 0.8333 0.0000  3 Dy 3.67, 3 La 3.67, 6 Pm 3.67-3.68
La: 0.8333 0.1667 0.0000  3 Dy 3.67, 3 La 3.67, 6 Pm 3.67-3.68
Pm: 0.0848 0.4168 0.7496  6 Pm 3.65-3.68, 3 Nd 3.66-3.67, 1 Dy 3.66, 2 La 3.67-3.68
Pm: 0.2512 0.2512 0.2506  6 Pm 3.65-3.68, 3 Nd 3.66-3.67, 1 Dy 3.67, 2 La 3.68
Pm: 0.4168 0.0848 0.7496  6 Pm 3.65-3.68, 3 Nd 3.66-3.67, 1 Dy 3.66, 2 La 3.67-3.68
Pm: 0.5832 0.9152 0.2504  6 Pm 3.65-3.68, 3 Nd 3.66-3.67, 1 Dy 3.66, 2 La 3.67-3.68
Pm: 0.7488 0.7488 0.7494  6 Pm 3.65-3.68, 3 Nd 3.66-3.67, 1 Dy 3.67, 2 La 3.68
Pm: 0.9152 0.5832 0.2504  6 Pm 3.65-3.68, 3 Nd 3.66-3.67, 1 Dy 3.66, 2 La 3.67-3.68
Nd: 0.0000 0.0000 0.5000  6 Pm 3.66-3.67, 6 Nd 3.67
Nd: 0.3335 0.6665 0.5000  6 Pm 3.66-3.67, 6 Nd 3.66-3.67
Nd: 0.6665 0.3335 0.5000  6 Pm 3.66-3.67, 6 Nd 3.66-3.67
Dy: 0.5000 0.5000 0.0000  6 Pm 3.66-3.67, 6 La 3.67